[1]
Y5P12Ru19, PBEsol geometry, DFT meta-GGA SCAN; calculated volume = 521 Å³/cell; ΔE_f = -0.96 eV per atom; symmetry = No. 189; M_tot = 0.00 μB per formula unit; total energy = -960.10 eV for the cell shown
1.0
-1.521 0.492 -3.576
-11.346 -2.033 4.546
4.561 11.516 -0.355
Y P Ru
5 12 19
direct
0.500 0.000 0.184
0.500 0.184 0.000
0.500 0.816 0.816
0.000 0.333 0.667
0.000 0.667 0.333
0.000 0.000 0.816
0.000 0.816 0.000
0.000 0.184 0.184
0.500 0.307 0.478
0.500 0.171 0.693
0.500 0.522 0.829
0.500 0.829 0.522
0.500 0.478 0.307
0.500 0.693 0.171
0.000 0.000 0.373
0.000 0.373 0.000
0.000 0.627 0.627
0.000 0.000 0.556
0.000 0.556 0.000
0.000 0.444 0.444
0.500 0.000 0.717
0.500 0.717 0.000
0.500 0.283 0.283
0.000 0.193 0.377
0.000 0.185 0.807
0.000 0.623 0.815
0.000 0.815 0.623
0.000 0.377 0.193
0.000 0.807 0.185
0.500 0.125 0.491
0.500 0.366 0.875
0.500 0.509 0.634
0.500 0.634 0.509
0.500 0.491 0.125
0.500 0.875 0.366
0.000 0.000 0.000

[2]
Hf3Al4C6, PBEsol geometry, DFT meta-GGA SCAN; calculated volume = 153 Å³/cell; ΔE_f = -0.61 eV per atom; symmetry = No. 166; M_tot = 0.00 μB per formula unit; total energy = -287.53 eV for the cell shown
1.0
-2.542 2.095 -0.202
-2.098 -0.191 -2.540
-10.761 -9.735 7.475
C Hf Al
6 3 4
direct
0.306 0.306 0.082
0.193 0.193 0.422
0.082 0.082 0.753
0.694 0.694 0.918
0.918 0.918 0.247
0.807 0.807 0.578
0.612 0.612 0.163
0.388 0.388 0.837
0.000 0.000 0.000
0.232 0.232 0.303
0.852 0.852 0.443
0.768 0.768 0.697
0.148 0.148 0.557

[3]
SbOs2Au, PBEsol geometry, DFT meta-GGA SCAN; calculated volume = 69 Å³/cell; formation energy (no corrections) = 0.48 eV per atom; symmetry = No. 99; M_tot = 0.00 μB per formula unit; total energy = -248.26 eV for the cell shown
1.0
2.874 0.000 0.000
0.000 2.874 0.000
0.000 0.000 8.397
Au Os Sb
1 2 1
direct
0.500 0.500 0.786
0.000 0.000 0.026
0.500 0.500 0.216
0.000 0.000 0.473